LiZr2Rh | PBE | relaxed

Calculated values
DOS at the Fermi energy	0.80	states/eV per atom
E_form	-0.222	eV per atom
size of the total moment	0.000	Bohr magnetons per cell

Cell: 3.118 4.490 5.327 Å, 90.00 101.79 90.00°
Atoms (fractional coordinates):
1 Li 0.000 0.000 0.000
2 Zr 0.420 0.500 0.846
3 Zr 0.669 0.000 0.456
4 Rh 0.101 0.500 0.313